[1]
Tb2Ho2Er: relaxed, PBE-GGA.

a = 9.207 Å, b = 9.207 Å, c = 3.706 Å
α = 90.00°, β = 90.00°, γ = 90.00°
Space group P4/mbm (No. 127)
Symmetry-distinct sites (fractional):
1 Tb 0.128 0.372 0.000 (multiplicity 4)
2 Ho 0.170 0.670 0.500 (multiplicity 4)
3 Er 0.000 0.000 0.000 (multiplicity 2)

Computed properties:
Energy relative to the lowest polymorph listed for this composition   0.000 eV per atom


[2]
Tb2Ho4Er3: relaxed, PBE-GGA.

a = 15.981 Å, b = 11.483 Å, c = 6.085 Å
α = 90.00°, β = 95.81°, γ = 90.00°
Space group C2/c (No. 15)
Symmetry-distinct sites (fractional):
1 Tb 0.121 0.143 0.321 (multiplicity 8)
2 Ho 0.046 0.358 0.014 (multiplicity 8)
3 Ho 0.214 0.141 0.847 (multiplicity 8)
4 Er 0.000 0.097 0.750 (multiplicity 4)
5 Er 0.166 0.403 0.587 (multiplicity 8)


[3]
Tb2HoEr: relaxed, PBE-GGA.

a = 6.517 Å, b = 13.004 Å, c = 6.516 Å
α = 90.00°, β = 114.91°, γ = 90.00°
Space group P2_1/c (No. 14)
Symmetry-distinct sites (fractional):
1 Tb 0.125 0.064 0.375 (multiplicity 4)
2 Tb 0.375 0.564 0.624 (multiplicity 4)
3 Ho 0.375 0.675 0.125 (multiplicity 4)
4 Er 0.125 0.175 0.875 (multiplicity 4)

Computed properties:
Energy relative to the lowest polymorph listed for this composition   0.041 eV per atom


[4]
Tb2Ho8Er3: relaxed, PBE-GGA.

a = 7.527 Å, b = 20.224 Å, c = 5.534 Å
α = 90.00°, β = 90.00°, γ = 90.00°
Space group Cmmm (No. 65)
Symmetry-distinct sites (fractional):
1 Tb 0.000 0.241 0.000 (multiplicity 4)
2 Ho 0.000 0.132 0.500 (multiplicity 4)
3 Ho 0.000 0.334 0.500 (multiplicity 4)
4 Ho 0.212 0.392 0.000 (multiplicity 8)
5 Er 0.000 0.000 0.000 (multiplicity 2)
6 Er 0.216 0.500 0.500 (multiplicity 4)


[5]
Tb5Ho4Er2: relaxed, PBE-GGA.

a = 10.938 Å, b = 7.267 Å, c = 9.133 Å
α = 90.00°, β = 107.03°, γ = 90.00°
Space group C2/m (No. 12)
Symmetry-distinct sites (fractional):
1 Tb 0.000 0.000 0.000 (multiplicity 2)
2 Tb 0.068 0.279 0.274 (multiplicity 8)
3 Ho 0.168 0.500 0.619 (multiplicity 4)
4 Ho 0.189 0.500 0.999 (multiplicity 4)
5 Er 0.145 0.000 0.620 (multiplicity 4)


[6]
Tb3Ho4Er2: relaxed, PBE-GGA.

a = 16.166 Å, b = 11.460 Å, c = 6.052 Å
α = 90.00°, β = 96.15°, γ = 90.00°
Space group C2/c (No. 15)
Symmetry-distinct sites (fractional):
1 Tb 0.000 0.097 0.250 (multiplicity 4)
2 Tb 0.167 0.403 0.082 (multiplicity 8)
3 Ho 0.046 0.359 0.514 (multiplicity 8)
4 Ho 0.213 0.141 0.347 (multiplicity 8)
5 Er 0.120 0.140 0.819 (multiplicity 8)

Computed properties:
Energy relative to the lowest polymorph listed for this composition   0.085 eV per atom


[7]
Tb5HoEr6: relaxed, PBE-GGA.

a = 5.729 Å, b = 7.379 Å, c = 17.736 Å
α = 90.00°, β = 90.00°, γ = 90.00°
Space group Immm (No. 71)
Symmetry-distinct sites (fractional):
1 Tb 0.000 0.000 0.000 (multiplicity 2)
2 Tb 0.000 0.000 0.348 (multiplicity 4)
3 Tb 0.000 0.500 0.347 (multiplicity 4)
4 Ho 0.000 0.500 0.000 (multiplicity 2)
5 Er 0.000 0.250 0.180 (multiplicity 8)
6 Er 0.000 0.251 0.500 (multiplicity 4)

Computed properties:
Energy relative to the lowest polymorph listed for this composition   0.099 eV per atom


[8]
Tb2HoEr: relaxed, PBE-GGA.

a = 3.5311 Å, b = 3.5311 Å, c = 34.4963 Å
α = 90.00°, β = 90.00°, γ = 120.00°
Space group R-3m (No. 166, hexagonal axes)
Symmetry-distinct sites (fractional):
1 Tb 0.0000 0.0000 0.2499 (multiplicity 6)
2 Ho 0.0000 0.0000 0.0000 (multiplicity 3)
3 Er 0.0000 0.0000 0.5000 (multiplicity 3)

Computed properties:
Energy relative to the lowest polymorph listed for this composition   0.012 eV per atom


Number 1: calculated total energy -0.165 hartree per atom, ΔH_f (0 K) 9 kJ per mole of atoms. Number 2: calculated total energy -0.165 hartree per atom, ΔH_f (0 K) 10 kJ per mole of atoms. Number 3: calculated total energy -0.167 hartree per atom, ΔH_f (0 K) 5 kJ per mole of atoms. Number 4: calculated total energy -0.160 hartree per atom, ΔH_f (0 K) 23 kJ per mole of atoms. Number 5: calculated total energy -0.164 hartree per atom, ΔH_f (0 K) 13 kJ per mole of atoms. Number 6: calculated total energy -0.165 hartree per atom, ΔH_f (0 K) 10 kJ per mole of atoms. Number 7: calculated total energy -0.164 hartree per atom, ΔH_f (0 K) 11 kJ per mole of atoms. Number 8: calculated total energy -0.168 hartree per atom, ΔH_f (0 K) 2 kJ per mole of atoms.